Entry 1:
Density functional theory data (PBE-GGA) for a relaxed structure of YScAl2.

Output
DFT formation energy   -0.115 eV/atom
Space group   No. 25

a b c (Å): 3.3659 4.3643 6.1430
angles (deg): 90.00 90.00 90.00
Closest atoms and distances in Å follow each position.
Atoms (fractional coordinates):
Y (0.0000, 0.0000, 0.0000)  6 Al 3.06-3.12, 4 Sc 3.28, 2 Y 3.37
Sc (0.5000, 0.5000, 0.7106)  6 Al 2.91-3.24
Al (0.0000, 0.0000, 0.5026)  4 Sc 3.04, 2 Y 3.06-3.09, 6 Al 3.20-3.37
Al (0.5000, 0.5000, 0.2374)  2 Sc 2.91-3.24, 4 Y 3.12, 4 Al 3.20



Entry 2:
Density functional theory data (PBE-GGA) for a relaxed structure of MgTaW.

Output
DFT formation energy   0.270 eV/atom
Space group   No. 156

a b c (Å): 4.7205 4.7205 2.7245
angles (deg): 90.00 90.00 120.00
Closest atoms and distances in Å follow each position.
Atoms (fractional coordinates):
Mg (0.0000, 0.0000, 0.0000)  2 Mg 2.72, 3 W 2.87, 3 Ta 2.90
Ta (0.6667, 0.3333, 0.3662)  2 Ta 2.72, 3 W 2.85, 3 Mg 2.90
W (0.3333, 0.6667, 0.6734)  2 W 2.72, 3 Ta 2.85, 3 Mg 2.87



Entry 3:
Density functional theory data (PBE-GGA) for a relaxed structure of K3Sr2PaS6.

Output
Energy relative to the elements, uncorrected   -1.75 eV/atom
Space group   No. 12

a b c (Å): 7.3849 7.3849 7.7506
angles (deg): 99.23 99.23 119.97
Closest atoms and distances in Å follow each position.
Atoms (fractional coordinates):
K (0.0000, 0.0000, 0.0000)  6 S 3.18-3.48
K (0.3299, 0.6701, 0.0000)  6 S 3.20-3.42
K (0.6701, 0.3299, 0.0000)  6 S 3.20-3.42
Sr (0.1665, 0.8335, 0.5000)  6 S 3.00-3.01
Sr (0.8335, 0.1665, 0.5000)  6 S 3.00-3.01
Pa (0.5000, 0.5000, 0.5000)  6 S 2.68-2.69
S (0.1299, 0.4309, 0.2928)  1 Pa 2.69, 2 Sr 3.00-3.01
S (0.2695, 0.2695, 0.7054)  1 Pa 2.68
S (0.4309, 0.1299, 0.2928)  1 Pa 2.69, 2 Sr 3.00-3.01
S (0.5691, 0.8701, 0.7072)  1 Pa 2.69, 2 Sr 3.00-3.01
S (0.7305, 0.7305, 0.2946)  1 Pa 2.68
S (0.8701, 0.5691, 0.7072)  1 Pa 2.69, 2 Sr 3.00-3.01



The calculation returns the following E values, one per record and in order: -20.74 -25.59 -61.97 eV/f.u..
The calculation returns the following Fermi-level density of states values, one per record and in order: 4.1 1.4 0.0 states/eV per cell.